1.
PBE CdCoIr2Pb, optimized geometry; size of the total moment = 2.44 μB/f.u.; DOS at the Fermi energy = 4.270 states/eV per cell; energy relative to the elements = 1.00 eV/atom; DFT total energy = -24.4 eV per formula unit
1.0
4.627 0.000 0.000
0.000 4.813 0.000
0.000 0.000 4.627
Ir Cd Pb Co
2 1 1 1
direct
0.000 0.000 0.500
0.500 0.000 0.000
0.500 0.500 0.500
0.000 0.500 0.000
0.000 0.000 0.000

2.
PBE TiGaPd4, optimized geometry; size of the total moment = 0.00 μB/f.u.; DOS at the Fermi energy = 2.910 states/eV per cell; energy relative to the elements = -0.60 eV/atom; DFT total energy = -35.3 eV per formula unit; E above lowest polymorph = 0.000 eV per atom
1.0
-2.476 1.865 1.609
-3.887 -3.008 1.294
2.800 2.390 5.328
Pd Ga Ti
4 1 1
direct
0.322 0.028 0.329
0.678 0.972 0.671
0.170 0.491 0.170
0.830 0.509 0.830
0.500 0.500 0.500
0.000 0.000 0.000

3.
PBE BaMn2Se, optimized geometry; uncorrected formation energy = -0.11 eV/atom; size of the total moment = 8.05 μB/f.u.; DOS at the Fermi energy = 2.738 states/eV per cell; DFT total energy = -24.2 eV per formula unit
1.0
3.969 0.000 0.000
0.000 3.946 -0.429
0.000 0.692 6.457
Se Mn Ba
1 2 1
direct
0.000 0.375 0.444
0.000 0.874 0.177
0.500 0.375 0.177
0.500 0.876 0.703

4.
PBE CeDy2MoN4, optimized geometry; uncorrected formation energy = -1.15 eV/atom; size of the total moment = 0.61 μB/f.u.; DOS at the Fermi energy = 13.461 states/eV per cell; DFT total energy = -68.5 eV per formula unit
1.0
-0.563 -0.432 -3.332
-4.845 -2.442 2.878
-5.500 10.416 -0.421
Mo Dy N Ce
2 4 8 2
direct
0.157 0.314 0.250
0.843 0.686 0.750
0.630 0.260 0.461
0.370 0.740 0.961
0.370 0.740 0.539
0.630 0.260 0.039
0.448 0.896 0.750
0.735 0.471 0.875
0.000 0.000 0.000
0.552 0.104 0.250
0.265 0.529 0.125
0.000 0.000 0.500
0.265 0.529 0.375
0.735 0.471 0.625
0.104 0.207 0.750
0.896 0.793 0.250